Record 1
VASP calculation (GGA-PBE) on Ba2CaW after structural relaxation.

ΔE to the lowest computed polymorph, eV per formula unit: 0.63
Energy of formation from the pure elements, eV/atom: 1.14

abc: 5.493 5.496 4.939
angles: 90.00 90.00 90.00
Site moments in Bohr magnetons follow the coordinates.
Positions (direct):
Ca1 0.500 0.000 0.500  -0.06
Ba1 0.000 0.000 0.000  -0.04
Ba2 0.500 0.500 0.000  -0.04
W1 0.000 0.500 0.500  2.25


Record 2
VASP calculation (GGA-PBE) on Pa2NiB5 after structural relaxation.

Energy of formation from the pure elements, eV/atom: -0.34

abc: 5.234 5.234 5.234
angles: 85.74 122.49 122.49
Positions (direct):
Pa1 0.500 0.235 0.735
Pa2 0.500 0.735 0.235
Ni1 0.000 0.005 0.005
B1 0.361 0.663 0.663
B2 0.000 0.663 0.301
B3 0.000 0.301 0.663
B4 0.639 0.301 0.301
B5 0.000 0.319 0.319


Record 3
VASP calculation (GGA-PBE) on ErGeAsRh3 after structural relaxation.

Energy of formation from the pure elements, eV/atom: -0.63

abc: 5.572 5.570 8.169
angles: 109.93 90.00 90.00
Positions (direct):
Er1 0.750 0.304 0.608
Er2 0.250 0.696 0.392
Ge1 0.250 0.096 0.191
Ge2 0.750 0.904 0.809
As1 0.250 0.408 0.817
As2 0.750 0.592 0.183
Rh1 0.250 0.253 0.505
Rh2 0.000 0.250 0.000
Rh3 0.500 0.750 0.000
Rh4 0.500 0.250 0.000
Rh5 0.000 0.750 0.000
Rh6 0.750 0.747 0.495


Record 4
VASP calculation (GGA-PBE) on LaNd6Sm4 after structural relaxation.

ΔE to the lowest computed polymorph, eV per formula unit: 0.00
Energy of formation from the pure elements, eV/atom: 0.29

abc: 10.109 10.109 10.109
angles: 55.26 141.71 141.71
Positions (direct):
La1 0.000 0.000 0.000
Nd1 0.000 0.811 0.450
Nd2 0.000 0.450 0.811
Nd3 0.361 0.550 0.550
Nd4 0.500 0.500 0.000
Nd5 0.639 0.189 0.189
Nd6 0.500 0.000 0.500
Sm1 0.000 0.629 0.008
Sm2 0.379 0.371 0.371
Sm3 0.000 0.008 0.629
Sm4 0.621 0.992 0.992


Record 5
VASP calculation (GGA-PBE) on GaMo2C after structural relaxation.

ΔE to the lowest computed polymorph, eV per formula unit: 0.53
Energy of formation from the pure elements, eV/atom: 0.01

abc: 6.774 2.995 11.050
angles: 90.00 97.89 90.00
Positions (direct):
Mo1 0.887 0.000 0.812
Mo2 0.887 0.500 0.312
Mo3 0.945 0.000 0.072
Mo4 0.945 0.500 0.572
Mo5 0.595 0.000 0.582
Mo6 0.595 0.500 0.082
Mo7 0.538 0.000 0.325
Mo8 0.538 0.500 0.825
C1 0.744 0.000 0.199
C2 0.744 0.500 0.699
C3 0.679 0.000 0.947
C4 0.679 0.500 0.447
Ga1 0.245 0.000 0.702
Ga2 0.245 0.500 0.202
Ga3 0.203 0.000 0.442
Ga4 0.203 0.500 0.942


Record 6
VASP calculation (GGA-PBE) on TaHgRu2 after structural relaxation.

Energy of formation from the pure elements, eV/atom: 0.30

abc: 3.450 3.450 5.785
angles: 90.00 90.00 90.00
Site moments in Bohr magnetons follow the coordinates.
Positions (direct):
Hg1 0.500 0.500 0.762  0.00
Ru1 0.000 0.000 0.025  0.80
Ru2 0.500 0.500 0.265  0.34
Ta1 0.000 0.000 0.447  -0.07


Record 7
VASP calculation (GGA-PBE) on TiNb2Tl2S6 after structural relaxation.

Energy relative to the elements, uncorrected, eV per atom: -0.935

abc: 6.026 6.026 8.125
angles: 96.30 96.30 119.98
Positions (direct):
Ti1 0.000 0.000 0.500
Nb1 0.357 0.643 0.500
Nb2 0.643 0.357 0.500
Tl1 0.825 0.175 0.000
Tl2 0.175 0.825 0.000
S1 0.744 0.744 0.702
S2 0.050 0.385 0.680
S3 0.256 0.256 0.298
S4 0.385 0.050 0.680
S5 0.950 0.615 0.320
S6 0.615 0.950 0.320


Record 8
VASP calculation (GGA-PBE) on K2TlNi after structural relaxation.

ΔE to the lowest computed polymorph, eV per formula unit: 0.57
Energy of formation from the pure elements, eV/atom: 0.31

abc: 4.741 6.815 7.317
angles: 41.82 90.00 90.00
Positions (direct):
K1 0.000 0.120 0.092
K2 0.000 0.380 0.408
Ni1 0.500 0.250 0.250
Tl1 0.500 0.750 0.750


Record 9
VASP calculation (GGA-PBE) on Li2CaRh after structural relaxation.

ΔE to the lowest computed polymorph, eV per formula unit: 0.78
Energy of formation from the pure elements, eV/atom: 0.00

abc: 5.730 5.730 3.302
angles: 75.00 75.00 122.45
Positions (direct):
Ca1 0.000 0.500 0.500
Li1 0.000 0.000 0.000
Li2 0.500 0.500 0.000
Rh1 0.500 0.000 0.500


Record 10
VASP calculation (GGA-PBE) on DyThN after structural relaxation.

ΔE to the lowest computed polymorph, eV per formula unit: 0.91
Energy relative to the elements, uncorrected, eV per atom: -0.614

abc: 7.521 7.521 7.608
angles: 128.49 128.49 74.97
Positions (direct):
N1 0.701 0.701 0.401
N2 0.299 0.299 0.599
N3 0.549 0.049 0.099
N4 0.951 0.451 0.901
Th1 0.886 0.386 0.500
Th2 0.636 0.636 0.000
Th3 0.614 0.114 0.500
Th4 0.364 0.364 0.000
Dy1 0.125 0.375 0.250
Dy2 0.125 0.875 0.750
Dy3 0.125 0.875 0.250
Dy4 0.625 0.875 0.750


Record 11
VASP calculation (GGA-PBE) on Tb7Sn2Ru2 after structural relaxation.

Energy of formation from the pure elements, eV/atom: -0.34

abc: 6.803 7.154 6.803
angles: 90.00 106.68 90.00
Positions (direct):
Tb1 0.000 0.249 0.500
Tb2 0.500 0.751 0.000
Tb3 0.000 0.751 0.500
Tb4 0.500 0.249 0.000
Tb5 0.000 0.000 0.000
Tb6 0.500 0.765 0.500
Tb7 0.500 0.235 0.500
Sn1 0.819 0.500 0.819
Sn2 0.181 0.500 0.181
Ru1 0.711 0.000 0.289
Ru2 0.289 0.000 0.711


Record 12
VASP calculation (GGA-PBE) on CsNaB2H6 after structural relaxation.

abc: 4.675 4.675 8.431
angles: 73.90 73.90 60.00
Site moments in Bohr magnetons follow the coordinates.
Positions (direct):
Cs1 0.000 0.000 0.000  0.04
Na1 0.500 0.500 0.500  0.01
B1 0.761 0.761 0.718  0.29
B2 0.239 0.239 0.282  0.29
H1 0.055 0.607 0.731  -0.01
H2 0.608 0.055 0.731  -0.01
H3 0.393 0.392 0.269  -0.01
H4 0.945 0.393 0.269  -0.01
H5 0.392 0.945 0.269  -0.01
H6 0.607 0.608 0.731  -0.01


Record 13
VASP calculation (GGA-PBE) on SiOsCl2 after structural relaxation.

ΔE to the lowest computed polymorph, eV per formula unit: 4.28
Energy relative to the elements, uncorrected, eV per atom: 0.871

abc: 9.534 9.534 9.534
angles: 18.26 18.26 18.26
Positions (direct):
Cl1 0.981 0.981 0.981
Cl2 0.519 0.519 0.519
Os1 0.250 0.250 0.250
Si1 0.750 0.750 0.750


Record 14
VASP calculation (GGA-PBE) on SrReN3 after structural relaxation.

Energy relative to the elements, uncorrected, eV per atom: -0.232

abc: 5.866 4.253 7.641
angles: 89.30 77.34 120.01
Positions (direct):
Sr1 0.851 0.748 0.118
Sr2 0.502 0.080 0.729
N1 0.120 0.313 0.859
N2 0.079 0.157 0.724
N3 0.484 0.664 0.456
N4 0.685 0.701 0.516
N5 0.486 0.076 0.080
N6 0.001 0.366 0.294
Re1 0.084 0.142 0.478
Re2 0.318 0.815 0.303


Record 15
VASP calculation (GGA-PBE) on SiIr2Cl after structural relaxation.

ΔE to the lowest computed polymorph, eV per formula unit: 2.24
Energy relative to the elements, uncorrected, eV per atom: 0.337

abc: 6.111 6.111 6.111
angles: 153.57 141.90 46.97
Positions (direct):
Cl1 0.260 0.760 0.500
Ir1 0.964 0.964 0.000
Ir2 0.734 0.234 0.500
Si1 0.542 0.542 0.000


Record 16
VASP calculation (GGA-PBE) on SrTlSi2 after structural relaxation.

ΔE to the lowest computed polymorph, eV per formula unit: 0.00
Energy relative to the elements, uncorrected, eV per atom: -0.115

abc: 3.903 4.653 6.214
angles: 71.50 90.00 90.00
Positions (direct):
Si1 0.000 0.185 0.992
Si2 0.500 0.071 0.233
Sr1 0.000 0.486 0.432
Tl1 0.500 0.758 0.843


Record 17
VASP calculation (GGA-PBE) on NdSm5Er2Th after structural relaxation.

Energy of formation from the pure elements, eV/atom: 0.16

abc: 5.682 10.549 10.521
angles: 90.00 90.00 105.62
Positions (direct):
Nd1 0.589 0.178 0.947
Nd2 0.411 0.822 0.447
Sm1 0.388 0.777 0.027
Sm2 0.723 0.446 0.815
Sm3 0.477 0.954 0.740
Sm4 0.294 0.589 0.706
Sm5 0.984 0.968 0.522
Sm6 0.612 0.223 0.527
Sm7 0.277 0.554 0.315
Sm8 0.523 0.046 0.240
Sm9 0.706 0.411 0.206
Sm10 0.016 0.032 0.022
Er1 0.885 0.769 0.819
Er2 0.113 0.227 0.734
Er3 0.115 0.231 0.319
Er4 0.887 0.773 0.234
Th1 0.801 0.601 0.514
Th2 0.199 0.399 0.014


Record 18
VASP calculation (GGA-PBE) on Ge2HRhF after structural relaxation.

abc: 4.673 3.175 4.673
angles: 90.00 90.00 90.00
Positions (direct):
H1 0.000 0.000 0.000
Ge1 0.000 0.000 0.500
Ge2 0.500 0.000 0.000
Rh1 0.000 0.500 0.000
F1 0.500 0.500 0.500


Record 19
VASP calculation (GGA-PBE) on KRb2CeBr6 after structural relaxation.

Energy relative to the elements, uncorrected, eV per atom: -1.811

abc: 8.140 8.646 11.722
angles: 90.00 89.30 90.00
Site moments in Bohr magnetons follow the coordinates.
Positions (direct):
K1 0.500 0.000 0.000  0.00
K2 0.000 0.500 0.500  0.00
Rb1 0.027 0.926 0.253  0.00
Rb2 0.527 0.574 0.753  0.00
Rb3 0.973 0.074 0.747  0.00
Rb4 0.473 0.426 0.247  0.00
Ce1 0.500 0.000 0.500  0.98
Ce2 0.000 0.500 0.000  0.98
Br1 0.290 0.684 0.055  -0.01
Br2 0.790 0.816 0.555  -0.01
Br3 0.710 0.316 0.945  -0.01
Br4 0.210 0.184 0.445  -0.01
Br5 0.324 0.718 0.434  -0.01
Br6 0.824 0.782 0.934  -0.01
Br7 0.676 0.282 0.566  -0.01
Br8 0.176 0.218 0.066  -0.01
Br9 0.882 0.545 0.234  -0.01
Br10 0.382 0.955 0.734  -0.01
Br11 0.118 0.455 0.766  -0.01
Br12 0.618 0.045 0.266  -0.01


Record 20
VASP calculation (GGA-PBE) on Y2PPt after structural relaxation.

Energy of formation from the pure elements, eV/atom: -1.24

abc: 4.067 4.067 5.732
angles: 90.00 90.00 90.00
Positions (direct):
Y1 0.000 0.000 0.000
Y2 0.500 0.500 0.500
P1 0.500 0.500 0.000
Pt1 0.000 0.000 0.500


Record 21
VASP calculation (GGA-PBE) on Tc2MoIr after structural relaxation.

ΔE to the lowest computed polymorph, eV per formula unit: 2.92
Energy of formation from the pure elements, eV/atom: 0.59

abc: 3.822 3.822 9.317
angles: 78.17 78.17 90.00
Positions (direct):
Mo1 0.500 0.500 0.000
Mo2 0.250 0.750 0.500
Ir1 0.000 0.000 0.000
Ir2 0.750 0.250 0.500
Tc1 0.641 0.125 0.250
Tc2 0.109 0.625 0.250
Tc3 0.375 0.359 0.750
Tc4 0.875 0.891 0.750


no.,VASP energy (eV per atom)
1,-3.56
2,-7.61
3,-6.61
4,-4.48
5,-8.47
6,-7.38
7,-6.16
8,-2.27
9,-3.30
10,-7.40
11,-5.70
12,-3.63
13,-4.22
14,-8.05
15,-5.91
16,-3.84
17,-4.83
18,-4.58
19,-3.71
20,-7.34
21,-9.52